[1]
Entry from Alexandria via LeMat-Bulk: a relaxed structure of RbMgSe2O8 (PBE).

```
data_RbMgSe2O8
_chemical_formula_sum 'Rb1 Mg1 Se2 O8'
_symmetry_space_group_name_H-M 'P 1'
_symmetry_Int_Tables_number 1
_cell_length_a 5.331
_cell_length_b 5.331
_cell_length_c 8.366
_cell_angle_alpha 90.00
_cell_angle_beta 90.00
_cell_angle_gamma 120.00
loop_
_symmetry_equiv_pos_as_xyz
'x,y,z'
loop_
_atom_site_label
_atom_site_type_symbol
_atom_site_fract_x
_atom_site_fract_y
_atom_site_fract_z
O1 O 0.268 0.928 0.651
O2 O 0.732 0.072 0.349
O3 O 0.928 0.660 0.349
O4 O 0.072 0.340 0.651
O5 O 0.667 0.333 0.090
O6 O 0.333 0.667 0.910
O7 O 0.340 0.268 0.349
O8 O 0.660 0.732 0.651
Se1 Se 0.667 0.333 0.290
Se2 Se 0.333 0.667 0.710
Rb1 Rb 0.000 0.000 0.000
Mg1 Mg 0.000 0.000 0.500
```

***

[2]
Entry from Alexandria via LeMat-Bulk: a relaxed structure of RbMgSeO4 (PBE).

```
data_RbMgSeO4
_chemical_formula_sum 'Rb1 Mg1 Se1 O4'
_symmetry_space_group_name_H-M 'P 1'
_symmetry_Int_Tables_number 1
_cell_length_a 6.063
_cell_length_b 6.063
_cell_length_c 6.063
_cell_angle_alpha 60.00
_cell_angle_beta 60.00
_cell_angle_gamma 60.00
loop_
_symmetry_equiv_pos_as_xyz
'x,y,z'
loop_
_atom_site_label
_atom_site_type_symbol
_atom_site_fract_x
_atom_site_fract_y
_atom_site_fract_z
Mg1 Mg 0.500 0.500 0.500
O1 O 0.369 0.369 0.369
O2 O 0.892 0.369 0.369
O3 O 0.369 0.892 0.369
O4 O 0.369 0.369 0.892
Rb1 Rb 0.750 0.750 0.750
Se1 Se 0.250 0.250 0.250
```

***

[3]
Entry from Alexandria via LeMat-Bulk: a relaxed structure of RbMg6SiO8 (PBE).

```
data_RbMg6SiO8
_chemical_formula_sum 'Rb1 Mg6 Si1 O8'
_symmetry_space_group_name_H-M 'P 1'
_symmetry_Int_Tables_number 1
_cell_length_a 4.711
_cell_length_b 4.711
_cell_length_c 8.346
_cell_angle_alpha 90.00
_cell_angle_beta 90.00
_cell_angle_gamma 90.00
loop_
_symmetry_equiv_pos_as_xyz
'x,y,z'
loop_
_atom_site_label
_atom_site_type_symbol
_atom_site_fract_x
_atom_site_fract_y
_atom_site_fract_z
Mg1 Mg 0.000 0.500 0.251
Mg2 Mg 0.500 0.500 0.000
Mg3 Mg 0.000 0.500 0.749
Mg4 Mg 0.500 0.000 0.251
Mg5 Mg 0.500 0.000 0.749
Mg6 Mg 0.500 0.500 0.500
O1 O 0.000 0.000 0.798
O2 O 0.500 0.000 0.500
O3 O 0.500 0.500 0.248
O4 O 0.500 0.500 0.752
O5 O 0.000 0.500 0.000
O6 O 0.000 0.000 0.202
O7 O 0.000 0.500 0.500
O8 O 0.500 0.000 0.000
Si1 Si 0.000 0.000 0.000
Rb1 Rb 0.000 0.000 0.500
```

Summary:
Distance to the lowest polymorph of the same formula (meV/atom): 0

***

[4]
Entry from Alexandria via LeMat-Bulk: a relaxed structure of Rb2MgSiO4 (PBE).

```
data_Rb2MgSiO4
_chemical_formula_sum 'Rb4 Mg2 Si2 O8'
_symmetry_space_group_name_H-M 'P 1'
_symmetry_Int_Tables_number 1
_cell_length_a 5.010
_cell_length_b 6.460
_cell_length_c 10.932
_cell_angle_alpha 84.90
_cell_angle_beta 76.75
_cell_angle_gamma 67.18
loop_
_symmetry_equiv_pos_as_xyz
'x,y,z'
loop_
_atom_site_label
_atom_site_type_symbol
_atom_site_fract_x
_atom_site_fract_y
_atom_site_fract_z
O1 O 0.254 0.159 0.916
O2 O 0.587 0.159 0.084
O3 O 0.420 0.659 0.416
O4 O 0.496 0.341 0.584
O5 O 0.163 0.341 0.416
O6 O 0.830 0.841 0.916
O7 O 0.330 0.841 0.084
O8 O 0.920 0.659 0.584
Si1 Si 0.250 0.500 0.500
Si2 Si 0.500 0.000 0.000
Rb1 Rb 0.925 0.500 0.150
Rb2 Rb 0.175 0.000 0.650
Rb3 Rb 0.575 0.500 0.850
Rb4 Rb 0.825 0.000 0.350
Mg1 Mg 0.000 0.000 0.000
Mg2 Mg 0.750 0.500 0.500
```

***

no.,total DFT energy (no corrections) (eV/cell)
1,-62.8
2,-35.3
3,-87.9
4,-93.7